Be2AsPt PBE relaxed; total energy = -4.692 eV per atom; calculated formation energy = -0.1559 eV per atom
1.0
-3.596 1.767 -0.978
-3.800 0.024 1.603
0.500 3.663 2.513
As Pt Be
1 1 2
direct
0.247 0.247 0.214
0.489 0.489 0.575
0.011 0.011 0.945
0.754 0.754 0.766